# SbAsOs2 | Alexandria | PBE | relaxed
# Uncorrected energy, eV per atom: -6.95
# Energy relative to the elements, uncorrected, eV per atom: 0.860
# Offset from the most stable computed form, meV/atom: 562.4
data_SbAsOs2
_cell_length_a 2.9807
_cell_length_b 5.2750
_cell_length_c 8.8724
_cell_angle_alpha 90.00
_cell_angle_beta 90.00
_cell_angle_gamma 90.00
_symmetry_space_group_name_H-M 'C m m m'
_symmetry_Int_Tables_number 65
_symmetry_space_group_name_Hall '-C 2 2'
loop_
_atom_site_label
_atom_site_fract_x
_atom_site_fract_y
_atom_site_fract_z
Sb1 0.0000 0.0000 0.0000
As1 0.0000 0.0000 0.5000
Os1 0.0000 0.5000 0.2826